Entry 1:
A plane-wave DFT calculation with PBE-GGA was carried out for an optimized crystal structure of Cd2Si2SnRh5.

Output
DFT total energy in eV/atom: -5.845
SG: P4/mbm, No. 127

Unit cell a=3.4039 b=9.6999 c=9.6999 alpha=90.00 beta=90.00 gamma=90.00
With the nearest neighbours (Å) after each atom.
Sites, in units of the cell vectors:
Si  0.0000  0.1264  0.6264  6 Rh 2.38-2.43
Si  0.0000  0.8736  0.3736  6 Rh 2.38-2.43
Si  0.0000  0.6264  0.8736  6 Rh 2.38-2.43
Si  0.0000  0.3736  0.1264  6 Rh 2.38-2.43
Cd  0.0000  0.8273  0.6727  3 Si 2.76-2.94, 6 Rh 2.92-3.00
Cd  0.0000  0.1727  0.3273  3 Si 2.76-2.94, 6 Rh 2.92-3.00
Cd  0.0000  0.3273  0.8273  3 Si 2.76-2.94, 6 Rh 2.92-3.00
Cd  0.0000  0.6727  0.1727  3 Si 2.76-2.94, 6 Rh 2.92-3.00
Rh  0.5000  0.2099  0.0759  2 Si 2.38
Rh  0.5000  0.5000  0.0000  4 Si 2.43
Rh  0.5000  0.4241  0.2901  2 Si 2.38
Rh  0.5000  0.5759  0.7099  2 Si 2.38
Rh  0.5000  0.0759  0.7901  2 Si 2.38
Rh  0.5000  0.9241  0.2099  2 Si 2.38
Rh  0.5000  0.7901  0.9241  2 Si 2.38
Rh  0.5000  0.2901  0.5759  2 Si 2.38
Rh  0.5000  0.0000  0.5000  4 Si 2.43
Rh  0.5000  0.7099  0.4241  2 Si 2.38
Sn  0.0000  0.5000  0.5000  8 Rh 2.75
Sn  0.0000  0.0000  0.0000  8 Rh 2.75

***

Entry 2:
A plane-wave DFT calculation with PBE-GGA was carried out for an optimized crystal structure of Sr2CdSiRh.

Output
DFT total energy in eV/atom: -3.745
SG: P4/mmm, No. 123

Unit cell a=5.8389 b=5.8389 c=4.5821 alpha=90.00 beta=90.00 gamma=90.00
With the nearest neighbours (Å) after each atom.
Sites, in units of the cell vectors:
Si  0.0000  0.0000  0.5000  2 Rh 2.29
Sr  0.0000  0.5000  0.0000  2 Rh 2.92
Sr  0.5000  0.0000  0.0000  2 Rh 2.92
Rh  0.0000  0.0000  0.0000  2 Si 2.29
Cd  0.5000  0.5000  0.5000  8 Sr 3.71, 4 Si 4.13

***

Entry 3:
A plane-wave DFT calculation with PBE-GGA was carried out for an optimized crystal structure of Sr2CdSi2Rh5.

Output
DFT total energy in eV/atom: -5.788
SG: P4/mbm, No. 127

Unit cell a=3.3383 b=10.3902 c=10.3902 alpha=90.00 beta=90.00 gamma=90.00
With the nearest neighbours (Å) after each atom.
Sites, in units of the cell vectors:
Rh  0.5000  0.2225  0.0676  2 Si 2.38
Rh  0.5000  0.4324  0.2775  2 Si 2.38
Rh  0.5000  0.9324  0.2225  2 Si 2.38
Rh  0.5000  0.5000  0.0000  4 Si 2.46
Rh  0.5000  0.0676  0.7775  2 Si 2.38
Rh  0.5000  0.5676  0.7225  2 Si 2.38
Rh  0.5000  0.2775  0.5676  2 Si 2.38
Rh  0.5000  0.7775  0.9324  2 Si 2.38
Rh  0.5000  0.0000  0.5000  4 Si 2.46
Rh  0.5000  0.7225  0.4324  2 Si 2.38
Sr  0.0000  0.8240  0.6760  3 Si 2.95-3.16, 10 Rh 3.08-3.21
Sr  0.0000  0.3240  0.8240  3 Si 2.95-3.16, 10 Rh 3.08-3.21
Sr  0.0000  0.1760  0.3240  3 Si 2.95-3.16, 10 Rh 3.08-3.21
Sr  0.0000  0.6760  0.1760  3 Si 2.95-3.16, 10 Rh 3.08-3.21
Si  0.0000  0.3767  0.1233  6 Rh 2.38-2.46
Si  0.0000  0.1233  0.6233  6 Rh 2.38-2.46
Si  0.0000  0.8767  0.3767  6 Rh 2.38-2.46
Si  0.0000  0.6233  0.8767  6 Rh 2.38-2.46
Cd  0.0000  0.0000  0.0000  8 Rh 2.94
Cd  0.0000  0.5000  0.5000  8 Rh 2.94

***

Entry 4:
A plane-wave DFT calculation with PBE-GGA was carried out for an optimized crystal structure of SrCd2SiRh2.

Output
DFT total energy in eV/atom: -4.344
SG: P4/mmm, No. 123

Unit cell a=4.5347 b=4.5347 c=6.3523 alpha=90.00 beta=90.00 gamma=90.00
With the nearest neighbours (Å) after each atom.
Sites, in units of the cell vectors:
Si  0.0000  0.0000  0.0000  4 Rh 2.27
Cd  0.5000  0.5000  0.2740  4 Rh 2.86, 1 Cd 2.87
Cd  0.5000  0.5000  0.7260  4 Rh 2.86, 1 Cd 2.87
Sr  0.0000  0.0000  0.5000  2 Si 3.18, 8 Cd 3.51
Rh  0.5000  0.0000  0.0000  2 Si 2.27
Rh  0.0000  0.5000  0.0000  2 Si 2.27

***

Entry 5:
A plane-wave DFT calculation with PBE-GGA was carried out for an optimized crystal structure of Tb2CdSi2Rh5.

Output
DFT total energy in eV/atom: -6.676
SG: P4/mbm, No. 127

Unit cell a=3.4937 b=9.8581 c=9.8581 alpha=90.00 beta=90.00 gamma=90.00
With the nearest neighbours (Å) after each atom.
Sites, in units of the cell vectors:
Rh  0.5000  0.4307  0.2820  2 Si 2.40
Rh  0.5000  0.7180  0.4307  2 Si 2.40
Rh  0.5000  0.0000  0.5000  4 Si 2.45
Rh  0.5000  0.2180  0.0693  2 Si 2.40
Rh  0.5000  0.0693  0.7820  2 Si 2.40
Rh  0.5000  0.5693  0.7180  2 Si 2.40
Rh  0.5000  0.5000  0.0000  4 Si 2.45
Rh  0.5000  0.2820  0.5693  2 Si 2.40
Rh  0.5000  0.7820  0.9307  2 Si 2.40
Rh  0.5000  0.9307  0.2180  2 Si 2.40
Tb  0.0000  0.3251  0.8251  3 Si 2.81-2.99, 6 Rh 3.00-3.10
Tb  0.0000  0.8251  0.6749  3 Si 2.81-2.99, 6 Rh 3.00-3.10
Tb  0.0000  0.6749  0.1749  3 Si 2.81-2.99, 6 Rh 3.00-3.10
Tb  0.0000  0.1749  0.3251  3 Si 2.81-2.99, 6 Rh 3.00-3.10
Cd  0.0000  0.0000  0.0000  8 Rh 2.85
Cd  0.0000  0.5000  0.5000  8 Rh 2.85
Si  0.0000  0.3764  0.1236  6 Rh 2.40-2.45
Si  0.0000  0.8764  0.3764  6 Rh 2.40-2.45
Si  0.0000  0.1236  0.6236  6 Rh 2.40-2.45
Si  0.0000  0.6236  0.8764  6 Rh 2.40-2.45

***

Entry 6:
A plane-wave DFT calculation with PBE-GGA was carried out for an optimized crystal structure of Cd2SiTeRh.

Output
DFT total energy in eV/atom: -3.194
SG: P4/mmm, No. 123

Unit cell a=5.1257 b=4.5430 c=5.1257 alpha=90.00 beta=90.00 gamma=90.00
With the nearest neighbours (Å) after each atom.
Sites, in units of the cell vectors:
Cd  0.5000  0.0000  0.0000  2 Si 2.56
Cd  0.0000  0.0000  0.5000  2 Si 2.56
Te  0.5000  0.5000  0.5000  8 Cd 3.42, 4 Rh 3.62
Si  0.0000  0.0000  0.0000  2 Rh 2.27
Rh  0.0000  0.5000  0.0000  2 Si 2.27

***

Entry 7:
A plane-wave DFT calculation with PBE-GGA was carried out for an optimized crystal structure of Tm2CdSi2Rh5.

Output
DFT total energy in eV/atom: -6.678
SG: P4/mbm, No. 127

Unit cell a=3.4818 b=9.7655 c=9.7655 alpha=90.00 beta=90.00 gamma=90.00
With the nearest neighbours (Å) after each atom.
Sites, in units of the cell vectors:
Tm  0.0000  0.1742  0.3258  3 Si 2.78-2.96, 6 Rh 2.97-3.07
Tm  0.0000  0.3258  0.8258  3 Si 2.78-2.96, 6 Rh 2.97-3.07
Tm  0.0000  0.8258  0.6742  3 Si 2.78-2.96, 6 Rh 2.97-3.07
Tm  0.0000  0.6742  0.1742  3 Si 2.78-2.96, 6 Rh 2.97-3.07
Si  0.0000  0.8755  0.3755  6 Rh 2.39-2.45
Si  0.0000  0.6245  0.8755  6 Rh 2.39-2.45
Si  0.0000  0.3755  0.1245  6 Rh 2.39-2.45
Si  0.0000  0.1245  0.6245  6 Rh 2.39-2.45
Rh  0.5000  0.9301  0.2168  2 Si 2.39
Rh  0.5000  0.2832  0.5699  2 Si 2.39
Rh  0.5000  0.7168  0.4301  2 Si 2.39
Rh  0.5000  0.7832  0.9301  2 Si 2.39
Rh  0.5000  0.2168  0.0699  2 Si 2.39
Rh  0.5000  0.5000  0.0000  4 Si 2.45
Rh  0.5000  0.0000  0.5000  4 Si 2.45
Rh  0.5000  0.4301  0.2832  2 Si 2.39
Rh  0.5000  0.0699  0.7832  2 Si 2.39
Rh  0.5000  0.5699  0.7168  2 Si 2.39
Cd  0.0000  0.0000  0.0000  8 Rh 2.82
Cd  0.0000  0.5000  0.5000  8 Rh 2.82

***

Entry 8:
A plane-wave DFT calculation with PBE-GGA was carried out for an optimized crystal structure of Y2CdSi2Rh5.

Output
DFT total energy in eV/atom: -7.043
SG: P4/mbm, No. 127

Unit cell a=3.4886 b=9.8558 c=9.8558 alpha=90.00 beta=90.00 gamma=90.00
With the nearest neighbours (Å) after each atom.
Sites, in units of the cell vectors:
Y  0.0000  0.6749  0.1749  3 Si 2.81-2.99, 6 Rh 3.00-3.09
Y  0.0000  0.8251  0.6749  3 Si 2.81-2.99, 6 Rh 3.00-3.09
Y  0.0000  0.1749  0.3251  3 Si 2.81-2.99, 6 Rh 3.00-3.09
Y  0.0000  0.3251  0.8251  3 Si 2.81-2.99, 6 Rh 3.00-3.09
Rh  0.5000  0.0000  0.5000  4 Si 2.45
Rh  0.5000  0.4307  0.2821  2 Si 2.40
Rh  0.5000  0.2821  0.5693  2 Si 2.40
Rh  0.5000  0.7179  0.4307  2 Si 2.40
Rh  0.5000  0.9307  0.2179  2 Si 2.40
Rh  0.5000  0.5000  0.0000  4 Si 2.45
Rh  0.5000  0.7821  0.9307  2 Si 2.40
Rh  0.5000  0.0693  0.7821  2 Si 2.40
Rh  0.5000  0.2179  0.0693  2 Si 2.40
Rh  0.5000  0.5693  0.7179  2 Si 2.40
Si  0.0000  0.3762  0.1238  6 Rh 2.40-2.45
Si  0.0000  0.8762  0.3762  6 Rh 2.40-2.45
Si  0.0000  0.1238  0.6238  6 Rh 2.40-2.45
Si  0.0000  0.6238  0.8762  6 Rh 2.40-2.45
Cd  0.0000  0.0000  0.0000  8 Rh 2.85
Cd  0.0000  0.5000  0.5000  8 Rh 2.85

***

Entry 9:
A plane-wave DFT calculation with PBE-GGA was carried out for an optimized crystal structure of ZnCd2Si2Rh5.

Output
DFT total energy in eV/atom: -5.567
SG: P4/mbm, No. 127

Unit cell a=3.1256 b=9.8838 c=9.8838 alpha=90.00 beta=90.00 gamma=90.00
With the nearest neighbours (Å) after each atom.
Sites, in units of the cell vectors:
Rh  0.5000  0.5703  0.7036  2 Si 2.34
Rh  0.5000  0.2964  0.5703  2 Si 2.34
Rh  0.5000  0.2036  0.0703  2 Si 2.34
Rh  0.5000  0.5000  0.0000  4 Si 2.41
Rh  0.5000  0.9297  0.2036  2 Si 2.34
Rh  0.5000  0.7036  0.4297  2 Si 2.34
Rh  0.5000  0.4297  0.2964  2 Si 2.34
Rh  0.5000  0.7964  0.9297  2 Si 2.34
Rh  0.5000  0.0000  0.5000  4 Si 2.41
Rh  0.5000  0.0703  0.7964  2 Si 2.34
Cd  0.0000  0.6732  0.1732  3 Si 2.74-3.04, 6 Rh 2.88-2.99
Cd  0.0000  0.3268  0.8268  3 Si 2.74-3.04, 6 Rh 2.88-2.99
Cd  0.0000  0.1732  0.3268  3 Si 2.74-3.04, 6 Rh 2.88-2.99
Cd  0.0000  0.8268  0.6732  3 Si 2.74-3.04, 6 Rh 2.88-2.99
Zn  0.0000  0.0000  0.0000  8 Rh 2.64
Zn  0.0000  0.5000  0.5000  8 Rh 2.64
Si  0.0000  0.8690  0.3690  6 Rh 2.34-2.41
Si  0.0000  0.3690  0.1310  6 Rh 2.34-2.41
Si  0.0000  0.1310  0.6310  6 Rh 2.34-2.41
Si  0.0000  0.6310  0.8690  6 Rh 2.34-2.41

***

Entry 10:
A plane-wave DFT calculation with PBE-GGA was carried out for an optimized crystal structure of Sm4CdRh2.

Output
DFT total energy in eV/atom: -5.413
DFT formation energy in eV/atom: -0.485
SG: P1, No. 1

Unit cell a=7.4036 b=7.3967 c=9.1547 alpha=126.26 beta=107.09 gamma=84.53
With the nearest neighbours (Å) after each atom.
Sites, in units of the cell vectors:
Rh  0.6643  0.8652  0.2146  7 Sm 2.84-3.08, 1 Rh 3.08
Rh  0.0881  0.4144  0.8389  7 Sm 2.89-3.21, 1 Cd 2.96, 1 Rh 3.08
Rh  0.6515  0.3784  0.7141  7 Sm 2.84-3.07, 1 Rh 3.08
Rh  0.5752  0.1776  0.0897  7 Sm 2.90-3.20, 1 Cd 2.96, 1 Rh 3.08
Sm  0.3949  0.5883  0.2033  3 Rh 2.90-3.00, 2 Cd 3.14-3.17
Sm  0.3840  0.1204  0.7246  3 Rh 2.89-3.00, 2 Cd 3.14-3.17
Sm  0.8761  0.3401  0.4650  4 Rh 3.04-3.08, 1 Cd 3.18
Sm  0.3678  0.6812  0.8511  4 Rh 2.89-3.20, 2 Cd 3.17-3.22
Sm  0.8379  0.9756  0.5820  3 Rh 2.84-3.01
Sm  0.8293  0.4437  0.0771  4 Rh 2.89-3.21, 2 Cd 3.17-3.22
Sm  0.3949  0.1858  0.3467  3 Rh 2.84-3.00
Sm  0.8651  0.8297  0.9648  4 Rh 2.95-3.07, 1 Cd 3.18
Cd  0.1553  0.1194  0.9642  2 Rh 2.96, 7 Sm 3.14-3.18
Cd  0.1655  0.6302  0.4640  7 Sm 3.17-3.27

***

Entry 11:
A plane-wave DFT calculation with PBE-GGA was carried out for an optimized crystal structure of Sm3Cd2Rh.

Output
DFT total energy in eV/atom: -4.342
DFT formation energy in eV/atom: -0.452
SG: Cmmm, No. 65

Unit cell a=8.1868 b=8.1868 c=7.6592 alpha=90.00 beta=90.00 gamma=143.34
With the nearest neighbours (Å) after each atom.
Sites, in units of the cell vectors:
Sm  0.8251  0.1749  0.2213  3 Rh 3.11-3.20, 5 Cd 3.20-3.46, 3 Sm 3.39-3.48
Sm  0.1749  0.8251  0.2213  3 Rh 3.11-3.20, 5 Cd 3.20-3.46, 3 Sm 3.39-3.48
Sm  0.5000  0.5000  0.2358  2 Rh 2.96, 6 Cd 3.14-3.28
Sm  0.1749  0.8251  0.7787  3 Rh 3.11-3.20, 5 Cd 3.20-3.46, 3 Sm 3.39-3.48
Sm  0.8251  0.1749  0.7787  3 Rh 3.11-3.20, 5 Cd 3.20-3.46, 3 Sm 3.39-3.48
Sm  0.5000  0.5000  0.7642  2 Rh 2.96, 6 Cd 3.14-3.28
Cd  0.0000  0.0000  0.0000  8 Sm 3.14-3.20, 4 Rh 3.48
Cd  0.3343  0.6657  0.5000  8 Sm 3.27-3.35, 2 Cd 3.64
Cd  0.6657  0.3343  0.5000  8 Sm 3.27-3.35, 2 Cd 3.64
Cd  0.0000  0.0000  0.5000  8 Sm 3.27-3.46, 4 Cd 3.64
Rh  0.6508  0.3492  0.0000  8 Sm 2.96-3.20
Rh  0.3492  0.6508  0.0000  8 Sm 2.96-3.20

***

Entry 12:
A plane-wave DFT calculation with PBE-GGA was carried out for an optimized crystal structure of SmCd2Rh2.

Output
DFT total energy in eV/atom: -4.436
DFT formation energy in eV/atom: -0.186
SG: C2/c, No. 15

Unit cell a=5.3476 b=5.3476 c=9.6894 alpha=91.01 beta=91.01 gamma=128.70
With the nearest neighbours (Å) after each atom.
Sites, in units of the cell vectors:
Cd  0.3589  0.1610  0.9987  3 Rh 2.71-2.96, 2 Cd 2.91-2.93
Cd  0.3390  0.1411  0.5013  3 Rh 2.71-2.96, 2 Cd 2.91-2.93
Cd  0.6411  0.8390  0.0013  3 Rh 2.71-2.96, 2 Cd 2.91-2.93
Cd  0.6610  0.8589  0.4987  3 Rh 2.71-2.96, 2 Cd 2.91-2.93
Rh  0.7960  0.7040  0.2500  2 Cd 2.78, 3 Rh 2.87-3.12, 3 Sm 2.89-3.09
Rh  0.2040  0.2960  0.7500  2 Cd 2.78, 3 Rh 2.87-3.12, 3 Sm 2.89-3.09
Rh  0.5272  0.9728  0.7500  2 Sm 2.70, 4 Cd 2.71-2.96, 2 Rh 2.87
Rh  0.4728  0.0272  0.2500  2 Sm 2.70, 4 Cd 2.71-2.96, 2 Rh 2.87
Sm  0.1170  0.3830  0.2500  4 Rh 2.70-2.89
Sm  0.8830  0.6170  0.7500  4 Rh 2.70-2.89